1.
Compound: Ce4AlCo
Source: Alexandria via LeMat-Bulk
Functional: PBE-GGA
Structure: relaxed

Lattice parameters (Å, degrees): 5.609 7.791 7.906 112.03 101.03 109.37
Element x y z (fractional)
Ce 0.300 0.644 0.848
Ce 0.700 0.356 0.152
Ce 0.312 0.904 0.613
Ce 0.047 0.203 0.848
Ce 0.199 0.291 0.387
Ce 0.801 0.709 0.613
Ce 0.688 0.096 0.387
Ce 0.953 0.797 0.152
Co 0.734 0.984 0.968
Co 0.266 0.016 0.032
Al 0.631 0.381 0.762
Al 0.369 0.619 0.238

Calculated values
As for the formation enthalpy at 0 K: -0.13 eV per atom. The value obtained for the uncorrected energy is -70.77 eV for the cell shown.

=====

2.
Compound: DyTeBr
Source: Alexandria via LeMat-Bulk
Functional: PBE-GGA
Structure: relaxed

Lattice parameters (Å, degrees): 4.298 7.337 7.307 84.68 90.00 90.00
Element x y z (fractional)
Br 0.322 0.845 0.030
Br 0.323 0.280 0.671
Te 0.822 0.305 0.157
Te 0.822 0.820 0.544
Dy 0.822 0.062 0.851
Dy 0.322 0.062 0.351

Calculated values
The uncorrected formation energy comes out at -1.53 eV/atom. The value obtained for the uncorrected energy is -28.00 eV for the cell shown.

=====

3.
Compound: Th4CuSe2S
Source: Alexandria via LeMat-Bulk
Functional: PBE-GGA
Structure: relaxed

Lattice parameters (Å, degrees): 4.093 7.426 7.138 71.10 90.00 90.00
Element x y z (fractional)
Th 0.500 0.731 0.255
Th 0.000 0.267 0.241
Th 0.500 0.269 0.745
Th 0.000 0.733 0.759
Se 0.000 0.000 0.000
Se 0.500 0.000 0.500
S 0.500 0.500 0.000
Cu 0.000 0.500 0.500

Calculated values
The uncorrected formation energy comes out at -1.24 eV/atom. The value obtained for the uncorrected energy is -54.79 eV for the cell shown.

=====

4.
Compound: KPu2HgTe4
Source: Alexandria via LeMat-Bulk
Functional: PBE-GGA
Structure: relaxed

Lattice parameters (Å, degrees): 4.550 8.012 15.925 90.00 90.00 106.49
Element x y z (fractional)
Te 0.734 0.468 0.893
Te 0.000 0.000 0.000
Te 0.266 0.532 0.393
Te 0.266 0.532 0.107
Te 0.459 0.919 0.750
Te 0.000 0.000 0.500
Te 0.734 0.468 0.607
Te 0.541 0.081 0.250
Pu 0.372 0.743 0.936
Pu 0.628 0.257 0.436
Pu 0.628 0.257 0.064
Pu 0.372 0.743 0.564
Hg 0.153 0.306 0.250
Hg 0.847 0.694 0.750
K 0.868 0.737 0.250
K 0.132 0.263 0.750

Calculated values
The uncorrected formation energy comes out at -0.82 eV/atom. The value obtained for the uncorrected energy is -98.43 eV for the cell shown.

=====

5.
Compound: SrMgB
Source: Alexandria via LeMat-Bulk
Functional: PBE-GGA
Structure: relaxed

Lattice parameters (Å, degrees): 5.799 4.000 13.300 90.00 90.00 90.00
Element x y z (fractional)
Sr 0.000 0.000 0.355
Sr 0.500 0.000 0.552
Sr 0.000 0.500 0.855
Sr 0.500 0.500 0.052
B 0.635 0.000 0.204
B 0.635 0.500 0.704
B 0.365 0.000 0.204
B 0.365 0.500 0.704
Mg 0.500 0.000 0.796
Mg 0.000 0.000 0.116
Mg 0.000 0.500 0.616
Mg 0.500 0.500 0.296

Calculated values
As for the formation enthalpy at 0 K: 0.15 eV per atom. The value obtained for the uncorrected energy is -37.96 eV for the cell shown. The energy above the lowest structure with this stoichiometry is 37 meV/atom.

=====

6.
Compound: MnCuS2
Source: Alexandria via LeMat-Bulk
Functional: PBE-GGA
Structure: relaxed

Lattice parameters (Å, degrees): 11.689 4.962 4.962 90.04 129.60 50.40
Element x y z (fractional)
Cu 0.254 0.120 0.130
Cu 0.754 0.370 0.380
S 0.768 0.348 0.902
S 0.241 0.139 0.611
S 0.268 0.598 0.152
S 0.741 0.889 0.361
Mn 0.254 0.618 0.631
Mn 0.754 0.869 0.882

Calculated values
The uncorrected formation energy comes out at -0.34 eV/atom. The value obtained for the uncorrected energy is -45.74 eV for the cell shown.

=====

7.
Compound: BaZn2Fe
Source: Alexandria via LeMat-Bulk
Functional: PBE-GGA
Structure: relaxed

Lattice parameters (Å, degrees): 4.973 4.973 9.325 74.53 74.53 90.00
Element x y z (fractional)
Zn 0.875 0.625 0.750
Zn 0.375 0.625 0.250
Zn 0.375 0.125 0.250
Zn 0.375 0.625 0.750
Fe 0.500 0.500 0.000
Fe 0.250 0.750 0.500
Ba 0.750 0.250 0.500
Ba 0.000 0.000 0.000

Calculated values
As for the formation enthalpy at 0 K: 0.29 eV per atom. The value obtained for the uncorrected energy is -23.52 eV for the cell shown.

=====

8.
Compound: Pm2TeAs
Source: Alexandria via LeMat-Bulk
Functional: PBE-GGA
Structure: relaxed

Lattice parameters (Å, degrees): 4.292 4.292 14.760 90.00 90.00 120.00
Element x y z (fractional)
Pm 0.667 0.333 0.609
Pm 0.667 0.333 0.891
Pm 0.333 0.667 0.109
Pm 0.333 0.667 0.391
Te 0.667 0.333 0.250
Te 0.333 0.667 0.750
As 0.000 0.000 0.500
As 0.000 0.000 0.000

Calculated values
The uncorrected formation energy comes out at -1.55 eV/atom. The value obtained for the uncorrected energy is -46.99 eV for the cell shown. The energy above the lowest structure with this stoichiometry is 0 meV/atom.